Tb3Y2Tl4, relaxed, DFT PBE; total magnetic moment = 0.0 μB/f.u.; Fermi-level density of states = 0.693 states/eV/atom; energy = -4.239 eV/atom
1.0
7.222 0.000 0.000
0.000 9.412 0.000
-3.611 0.000 7.960
Tb Y Tl
6 4 8
Cartesian
0.000 0.000 0.000
3.611 4.706 0.000
1.805 7.059 4.588
5.416 2.353 3.372
1.805 2.353 3.372
-1.805 7.059 4.588
0.000 5.325 1.742
3.611 4.087 6.218
0.000 0.619 6.218
3.611 8.792 1.742
1.805 7.059 7.697
5.416 2.353 0.264
1.805 2.353 0.264
-1.805 7.059 7.697
0.000 9.080 3.063
3.611 0.331 4.897
0.000 4.375 4.897
3.611 5.037 3.063